# 1
4
Lattice="-0.8076 2.8364 -0.8613 -0.3169 -2.3397 -1.9658 -8.3524 -1.4464 3.0680" Properties=species:S:1:pos:R:3 comment="CrCl | Alexandria | PBE-GGA | relaxed" spacegroup=Cmme total_energy_ev_per_atom=-5.637 formation_energy_uncorrected_ev_per_fu=0.20 pbc="T T T"
Cl -0.7000 -0.1212 0.2571
Cl -6.1265 -0.7152 0.6303
Cr -3.8585 -0.6682 1.4173
Cr -2.9680 -0.1683 -0.5299

=====

# 2
12
Lattice="-3.1508 0.0951 -0.3200 0.1673 -6.1030 -3.4610 -1.0751 -5.1631 9.0525" Properties=species:S:1:pos:R:3 comment="CrCl | Alexandria | PBE-GGA | relaxed" spacegroup=Pmmn total_energy_ev_per_atom=-5.719 formation_energy_uncorrected_ev_per_fu=0.03 pbc="T T T"
Cl -2.4187 -6.0997 6.3165
Cl 0.1400 -5.1077 -2.8966
Cl -0.2400 -5.9612 0.5917
Cl -1.7057 -2.6758 0.3135
Cl -0.6022 -7.7005 3.6412
Cl -2.0857 -3.5293 3.8018
Cr -0.1959 -1.2053 1.5712
Cr -1.7498 -7.4318 -0.6660
Cr -1.4833 -3.3117 -2.0650
Cr -0.4624 -5.3253 2.9703
Cr -2.1544 -9.3751 2.7413
Cr -0.8664 -4.4250 7.2164

=====

# 3
2
Lattice="-0.4007 2.8097 1.8334 -0.7579 -1.8745 2.7071 3.2683 -0.0902 0.8525" Properties=species:S:1:pos:R:3 comment="CrCl | Alexandria | PBE-GGA | relaxed" spacegroup=Pm-3m total_energy_ev_per_atom=-5.579 formation_energy_uncorrected_ev_per_fu=0.31 pbc="T T T"
Cl 0.0000 0.0000 0.0000
Cr 1.0549 0.4225 2.6965

=====

# 4
6
Lattice="2.0081 -3.4781 0.0000 2.0081 3.4781 0.0000 0.0000 0.0000 5.8790" Properties=species:S:1:pos:R:3 comment="Cr2Cl | Alexandria | PBE-GGA | relaxed" spacegroup=P6_3/mmc total_energy_ev_per_atom=-6.002 formation_energy_uncorrected_ev_per_fu=3.09 pbc="T T T"
Cr 2.0081 -1.1594 0.3856
Cr 2.0081 1.1594 5.4935
Cr 2.0081 1.1594 3.3251
Cr 2.0081 -1.1594 2.5539
Cl 0.0000 0.0000 1.4698
Cl 0.0000 0.0000 4.4093